(1)
# LiLa2Ir

A relaxed LiLa2Ir crystal (PBE-GGA, the Alexandria database).

## Properties
For the formation energy, the calculation gives -27.8 kJ per mole of atoms. The density of states at the Fermi level comes out at 0.688 states/eV/atom. Its symmetry is Imm2. Its total energy is -5.446 eV/atom.

Cell: 6.9926 6.9926 4.8502 Å, 69.70 69.70 29.41°
Last column: nearest neighbours and their distance in Å.
Fractional coordinates of all 4 atoms:
Ir  0.2506  0.2506  0.2493  2 Li 2.83, 6 La 2.95-3.01
La  0.9369  0.9369  0.0631  2 Ir 2.95
La  0.7360  0.7360  0.7640  4 Ir 3.01, 2 Li 3.15
Li  0.5765  0.5765  0.4236  2 Ir 2.83, 2 La 3.15

=====

(2)
# LiLa2Ir

A relaxed LiLa2Ir crystal (PBE-GGA, the Alexandria database).

## Properties
For the formation energy, the calculation gives -30.3 kJ per mole of atoms. The density of states at the Fermi level comes out at 1.288 states/eV/atom. Its symmetry is R3m. Its total energy is -5.472 eV/atom.

Cell: 7.3608 7.3608 7.3608 Å, 33.84 33.84 33.84°
Last column: nearest neighbours and their distance in Å.
Fractional coordinates of all 4 atoms:
Ir  0.7937  0.7937  0.7937  3 Li 2.47
La  0.0360  0.0360  0.0360  3 Li 3.08, 3 Ir 3.11
La  0.2131  0.2131  0.2131  3 Ir 3.05, 3 Li 3.09
Li  0.4572  0.4572  0.4572  3 Ir 2.47

=====

(3)
# LiLa2Ir

A relaxed LiLa2Ir crystal (PBE-GGA, the Alexandria database).

## Properties
For the formation energy, the calculation gives -13.9 kJ per mole of atoms. The density of states at the Fermi level comes out at 1.222 states/eV/atom. Its symmetry is P4mm. Its total energy is -5.301 eV/atom.

Cell: 3.6716 3.6716 7.5068 Å, 90.00 90.00 90.00°
Last column: nearest neighbours and their distance in Å.
Fractional coordinates of all 4 atoms:
Ir  0.5000  0.5000  0.6926  1 La 2.73, 4 Li 2.78
La  0.0000  0.0000  0.9197  1 Li 2.71
La  0.5000  0.5000  0.3290  1 Ir 2.73
Li  0.0000  0.0000  0.5587  1 La 2.71, 4 Ir 2.78

=====

(4)
# LiLaIr2

A relaxed LiLaIr2 crystal (PBE-GGA, the Alexandria database).

## Properties
For the formation energy, the calculation gives -10.1 kJ per mole of atoms. The density of states at the Fermi level comes out at 1.271 states/eV/atom. Its symmetry is I-4m2. Its total energy is -6.246 eV/atom.

Cell: 5.0684 5.0684 5.0684 Å, 130.98 130.98 71.84°
Last column: nearest neighbours and their distance in Å.
Fractional coordinates of all 4 atoms:
Ir  0.0000  0.0000  0.0000  4 Li 2.94, 4 Ir 2.94, 4 La 2.97
Ir  0.2500  0.7500  0.5000  4 Ir 2.94, 4 La 2.94, 4 Li 2.97
La  0.5000  0.5000  0.0000  4 Li 2.94, 8 Ir 2.94-2.97
Li  0.7500  0.2500  0.5000  4 La 2.94, 8 Ir 2.94-2.97